A geometry-optimized CaPm3As structure. Source: the Alexandria database, functional PBE.

Cell lengths 5.7059, 5.7059, 5.7059 Å; angles 90.00, 90.00, 90.00 degrees
Element x y z (fractional)
1 Ca 0.0000 0.0000 0.0000
2 Pm 0.0000 0.5000 0.5000
3 Pm 0.5000 0.0000 0.5000
4 Pm 0.5000 0.5000 0.0000
5 As 0.5000 0.5000 0.5000

Properties
size of the total moment	0.00	μB per cell
ΔE_f	-0.376	eV/atom

A geometry-optimized KLi2Hg structure. Source: the Alexandria database, functional PBE.

Cell lengths 3.4515, 3.9860, 8.0808 Å; angles 90.00, 91.12, 90.00 degrees
Element x y z (fractional)
1 K 0.0000 0.0000 0.0000
2 Li 0.4957 0.5000 0.3388
3 Li 0.5043 0.5000 0.6612
4 Hg 0.0000 0.0000 0.5000

Properties
size of the total moment	0.00	μB per cell
ΔE_f	-0.092	eV/atom

A geometry-optimized AgTeCl2 structure. Source: the Alexandria database, functional PBE.

Cell lengths 3.8314, 3.8314, 25.3948 Å; angles 90.00, 90.00, 120.00 degrees
Element x y z (fractional)
1 Ag 0.0000 0.0000 0.0000
2 Ag 0.3333 0.6667 0.6667
3 Ag 0.6667 0.3333 0.3333
4 Te 0.0000 0.0000 0.5000
5 Te 0.3333 0.6667 0.1667
6 Te 0.6667 0.3333 0.8333
7 Cl 0.0000 0.0000 0.3970
8 Cl 0.0000 0.0000 0.6030
9 Cl 0.3333 0.6667 0.0636
10 Cl 0.3333 0.6667 0.2697
11 Cl 0.6667 0.3333 0.7303
12 Cl 0.6667 0.3333 0.9364

Properties
excess energy over the best structure of this formula in the dataset	8.8	kJ/mol of atoms
size of the total moment	0.00	μB per cell

A geometry-optimized Pu3GaRh2 structure. Source: the Alexandria database, functional PBE.

Cell lengths 8.4568, 8.4568, 9.1048 Å; angles 121.06, 121.06, 26.77 degrees
Element x y z (fractional)
1 Pu 0.0015 0.0015 0.3686
2 Pu 0.2144 0.2144 0.1030
3 Pu 0.3865 0.3865 0.4995
4 Pu 0.6135 0.6135 0.5005
5 Pu 0.7856 0.7856 0.8970
6 Pu 0.9985 0.9985 0.6314
7 Ga 0.4181 0.4181 0.8458
8 Ga 0.5819 0.5819 0.1542
9 Rh 0.1904 0.1904 0.3721
10 Rh 0.4119 0.4119 0.1307
11 Rh 0.5881 0.5881 0.8693
12 Rh 0.8096 0.8096 0.6279

Properties
excess energy over the best structure of this formula in the dataset	19.7	kJ/mol of atoms
size of the total moment	12.60	μB per cell
ΔE_f	-0.213	eV/atom

A geometry-optimized SrAsIBr2 structure. Source: the Alexandria database, functional PBE.

Cell lengths 5.7167, 5.7167, 5.6143 Å; angles 90.00, 90.00, 90.00 degrees
Element x y z (fractional)
1 Sr 0.0000 0.0000 0.0000
2 As 0.5000 0.5000 0.0000
3 I 0.5000 0.5000 0.5000
4 Br 0.0000 0.5000 0.5000
5 Br 0.5000 0.0000 0.5000

Properties
excess energy over the best structure of this formula in the dataset	22.3	kJ/mol of atoms
size of the total moment	0.00	μB per cell

A geometry-optimized PaCu3 structure. Source: the Alexandria database, functional PBE.

Cell lengths 5.0955, 5.0955, 8.8715 Å; angles 106.67, 106.67, 60.02 degrees
Element x y z (fractional)
1 Pa 0.0000 0.0000 0.0000
2 Pa 0.1474 0.1474 0.4411
3 Pa 0.8526 0.8526 0.5589
4 Cu 0.0823 0.5808 0.2434
5 Cu 0.3330 0.3330 0.9981
6 Cu 0.4193 0.4193 0.7563
7 Cu 0.4192 0.9177 0.7566
8 Cu 0.5000 0.5000 0.5000
9 Cu 0.5808 0.0823 0.2434
10 Cu 0.5807 0.5807 0.2437
11 Cu 0.6670 0.6670 0.0019
12 Cu 0.9177 0.4192 0.7566

Properties
excess energy over the best structure of this formula in the dataset	3.3	kJ/mol of atoms
size of the total moment	0.00	μB per cell
ΔE_f	0.009	eV/atom

Calculated E_tot in order - -22.78; -5.60; -10.69; -62.00; -12.10; -21.75 eV per formula unit